A geometry-optimized Pm2Pr5Dy12 structure. Source: the Alexandria database, functional PBE-GGA.

The structure in CIF format:
```
data_Pm2Pr5Dy12
_space_group_name_H-M_alt 'P -1'
_space_group_IT_number 2
_space_group_name_Hall '-P 1'
_cell_length_a 6.8420
_cell_length_b 7.0427
_cell_length_c 13.9926
_cell_angle_alpha 89.28
_cell_angle_beta 78.96
_cell_angle_gamma 75.10
loop_
_atom_site_label
_atom_site_type_symbol
_atom_site_fract_x
_atom_site_fract_y
_atom_site_fract_z
Pm1 Pm 0.2387 0.0612 0.0165
Pr1 Pr 0.0733 0.6031 0.3896
Pr2 Pr 0.2356 0.5641 0.0085
Pr3 Pr 0.5000 0.5000 0.5000
Dy1 Dy 0.0592 0.1180 0.8063
Dy2 Dy 0.1121 0.0902 0.3917
Dy3 Dy 0.1125 0.6160 0.7742
Dy4 Dy 0.3632 0.0000 0.6053
Dy5 Dy 0.4400 0.2597 0.2025
Dy6 Dy 0.4613 0.7632 0.2093
```

E_form = 2.12 eV/f.u.
magnetization = 0.0 μB/cell